VASP calculation (GGA-PBE) on an optimized crystal structure of AlTeBrO4.

The structure belongs to space group C2/m (No. 12); the cell edges are 12.626, 6.105 and 8.389 Å and the angles 90.00°, 122.66° and 90.00°. The distinct sites, in fractional coordinates, are Al at (0.207, 0.000, 0.323), Te at (0.126, 0.500, 0.192), Br at (0.013, 0.000, 0.288), O at (0.052, 0.500, 0.908), O at (0.163, 0.500, 0.441) and O at (0.215, 0.246, 0.211).

The energy is -5.374 eV per atom. Its energy relative to the elements, uncorrected is -1318 meV/atom. The value obtained for the calculated volume is 136.1 Å³/f.u.